(1)
# NpU2Cr2C4 | the Alexandria database | GGA-PBE | optimized geometry
# ΔH_f (0 K)   -0.07 eV per atom
# Electronic total energy   -10.256 eV per atom
data_NpU2Cr2C4
_cell_length_a 14.072
_cell_length_b 3.108
_cell_length_c 5.339
_cell_angle_alpha 90.00
_cell_angle_beta 110.94
_cell_angle_gamma 90.00
_symmetry_space_group_name_H-M 'C 1 2/m 1'
_symmetry_Int_Tables_number 12
_symmetry_space_group_name_Hall '-C 2y'
loop_
_atom_site_label
_atom_site_type_symbol
_atom_site_fract_x
_atom_site_fract_y
_atom_site_fract_z
Np1 Np 0.000 0.000 0.000
U1 U 0.130 0.000 0.782
Cr1 Cr 0.176 0.500 0.358
C1 C 0.025 0.500 0.397
C2 C 0.243 0.000 0.248

=====

(2)
# CeTaAl | the Alexandria database | GGA-PBE | optimized geometry
# ΔH_f (0 K)   0.17 eV per atom
# Electronic total energy   -7.011 eV per atom
data_CeTaAl
_cell_length_a 5.817
_cell_length_b 9.097
_cell_length_c 9.876
_cell_angle_alpha 90.00
_cell_angle_beta 90.00
_cell_angle_gamma 90.00
_symmetry_space_group_name_H-M 'F m m m'
_symmetry_Int_Tables_number 69
_symmetry_space_group_name_Hall '-F 2 2'
loop_
_atom_site_label
_atom_site_type_symbol
_atom_site_fract_x
_atom_site_fract_y
_atom_site_fract_z
Ce1 Ce 0.000 0.183 0.000
Ta1 Ta 0.250 0.250 0.250
Al1 Al 0.000 0.000 0.350

=====

(3)
# PmPr4Ga4 | the Alexandria database | GGA-PBE | optimized geometry
# ΔH_f (0 K)   -0.39 eV per atom
# Electronic total energy   -4.390 eV per atom
data_PmPr4Ga4
_cell_length_a 10.411
_cell_length_b 10.411
_cell_length_c 4.886
_cell_angle_alpha 90.00
_cell_angle_beta 90.00
_cell_angle_gamma 90.00
_symmetry_space_group_name_H-M 'I 4/m'
_symmetry_Int_Tables_number 87
_symmetry_space_group_name_Hall '-I 4'
loop_
_atom_site_label
_atom_site_type_symbol
_atom_site_fract_x
_atom_site_fract_y
_atom_site_fract_z
Pm1 Pm 0.000 0.000 0.000
Pr1 Pr 0.134 0.354 0.000
Ga1 Ga 0.070 0.168 0.500